This record from Alexandria via LeMat-Bulk describes a relaxed MgW2O4 crystal. The functional is GGA+U.

```
MgW2O4
1.0
-7.345 -0.116 -3.405
-6.364 -3.135 -3.903
-8.568 -3.365 3.517
Mg W O
2 4 8
Direct
0.311 0.311 0.697
0.689 0.689 0.303
0.635 0.635 0.058
0.141 0.141 0.686
0.859 0.859 0.314
0.365 0.365 0.942
0.864 0.864 0.085
0.459 0.459 0.279
0.541 0.541 0.721
0.136 0.136 0.915
0.173 0.173 0.175
0.773 0.773 0.602
0.827 0.827 0.825
0.227 0.227 0.398
```

Magnetization = 6.000 μB/f.u.
Total DFT energy (no corrections) = -96.04 eV for the cell shown
Distance to the lowest polymorph of the same formula = 149 meV per atom